<P>
## AcLuNi2 (GGA-PBE)

Data for a geometry-optimized AcLuNi2 structure. Values from VASP.

```
&SYSTEM
  ibrav = 0, nat = 12, ntyp = 3
/
ATOMIC_SPECIES
Ac 227.00 Ac.upf
Lu 174.97 Lu.upf
Ni 58.69 Ni.upf
ATOMIC_POSITIONS crystal
Ac 0.0000 0.0000 0.0000
Ac 0.3333 0.6667 0.6667
Ac 0.6667 0.3333 0.3333
Lu 0.0000 0.0000 0.5000
Lu 0.3333 0.6667 0.1667
Lu 0.6667 0.3333 0.8333
Ni 0.0000 0.0000 0.2109
Ni 0.0000 0.0000 0.7891
Ni 0.3333 0.6667 0.4558
Ni 0.3333 0.6667 0.8776
Ni 0.6667 0.3333 0.1224
Ni 0.6667 0.3333 0.5442
CELL_PARAMETERS angstrom
4.5338 0.0000 0.0000
-2.2669 3.9264 0.0000
0.0000 0.0000 15.3398
```

The volume comes out at 91 Å³/f.u. The space-group type is R-3m, No. 166.

---

<Q>
## AcLuNi2 (GGA-PBE)

Data for a geometry-optimized AcLuNi2 structure. Values from VASP.

```
&SYSTEM
  ibrav = 0, nat = 16, ntyp = 3
/
ATOMIC_SPECIES
Ac 227.00 Ac.upf
Lu 174.97 Lu.upf
Ni 58.69 Ni.upf
ATOMIC_POSITIONS crystal
Ac 0.0000 0.0000 0.0000
Ac 0.0000 0.5000 0.5000
Ac 0.5000 0.0000 0.5000
Ac 0.5000 0.5000 0.0000
Lu 0.0000 0.0000 0.5000
Lu 0.0000 0.5000 0.0000
Lu 0.5000 0.0000 0.0000
Lu 0.5000 0.5000 0.5000
Ni 0.2500 0.2500 0.2500
Ni 0.2500 0.2500 0.7500
Ni 0.2500 0.7500 0.2500
Ni 0.2500 0.7500 0.7500
Ni 0.7500 0.2500 0.2500
Ni 0.7500 0.2500 0.7500
Ni 0.7500 0.7500 0.2500
Ni 0.7500 0.7500 0.7500
CELL_PARAMETERS angstrom
7.0146 0.0000 0.0000
0.0000 7.0146 0.0000
0.0000 0.0000 7.0146
```

The volume comes out at 86 Å³/f.u. The space-group type is Fm-3m, No. 225.

---

Verdict on stability: <P> comes out on top.

---

<P>
## AcLu2Ni (GGA-PBE)

Data for a geometry-optimized AcLu2Ni structure. Values from VASP.

```
&SYSTEM
  ibrav = 0, nat = 4, ntyp = 3
/
ATOMIC_SPECIES
Ac 227.00 Ac.upf
Lu 174.97 Lu.upf
Ni 58.69 Ni.upf
ATOMIC_POSITIONS crystal
Ac 0.0000 0.0000 0.0000
Lu 0.5000 0.5000 0.3254
Lu 0.5000 0.5000 0.6746
Ni 0.0000 0.0000 0.5000
CELL_PARAMETERS angstrom
3.4743 0.0000 0.0000
0.0000 3.4743 0.0000
0.0000 0.0000 8.8836
```

The volume comes out at 107 Å³/f.u. The space-group type is P4/mmm, No. 123.

---

<Q>
## AcLu2Ni (GGA-PBE)

Data for a geometry-optimized AcLu2Ni structure. Values from VASP.

```
&SYSTEM
  ibrav = 0, nat = 12, ntyp = 3
/
ATOMIC_SPECIES
Ac 227.00 Ac.upf
Lu 174.97 Lu.upf
Ni 58.69 Ni.upf
ATOMIC_POSITIONS crystal
Ac 0.0000 0.0000 0.0000
Ac 0.3333 0.6667 0.6667
Ac 0.6667 0.3333 0.3333
Lu 0.0000 0.0000 0.1192
Lu 0.0000 0.0000 0.8808
Lu 0.3333 0.6667 0.5474
Lu 0.3333 0.6667 0.7859
Lu 0.6667 0.3333 0.2141
Lu 0.6667 0.3333 0.4526
Ni 0.0000 0.0000 0.5000
Ni 0.3333 0.6667 0.1667
Ni 0.6667 0.3333 0.8333
CELL_PARAMETERS angstrom
3.7772 0.0000 0.0000
-1.8886 3.2712 0.0000
0.0000 0.0000 30.8836
```

The volume comes out at 127 Å³/f.u. The space-group type is R-3m, No. 166.

---

Verdict on stability: <P> comes out on top.